# PmHoPuIn, optimized geometry, DFT PBE
# - spin magnetization (μB/atom) = 1.67
# - energy of formation from the pure elements (meV/atom) = 14
# - DOS at the Fermi energy (states/eV/cell) = 41.6
data_PmHoPuIn
_chemical_formula_sum 'Pm4 Ho4 Pu4 In4'
_cell_length_a 7.708
_cell_length_b 7.708
_cell_length_c 7.708
_cell_angle_alpha 90.00
_cell_angle_beta 90.00
_cell_angle_gamma 90.00
_space_group_name_H-M_alt 'F -4 3 m'
_space_group_IT_number 216
_space_group_name_Hall 'F -4 2 3'
loop_
_atom_site_label
_atom_site_fract_x
_atom_site_fract_y
_atom_site_fract_z
_atom_site_occupancy
Pm1 0.000 0.000 0.000 1
Ho1 0.250 0.250 0.250 1
Pu1 0.250 0.250 0.750 1
In1 0.000 0.000 0.500 1